# CrPtOF2 (PBE+U, optimized geometry)
# E above lowest polymorph: 0.00 eV per formula unit
# crystal system: tetragonal
data_CrPtOF2
_space_group_name_H-M_alt 'P 4/m m m'
_space_group_IT_number 123
_space_group_name_Hall '-P 4 2'
_cell_length_a 3.906
_cell_length_b 3.906
_cell_length_c 4.028
_cell_angle_alpha 90.00
_cell_angle_beta 90.00
_cell_angle_gamma 90.00
loop_
_atom_site_label
_atom_site_fract_x
_atom_site_fract_y
_atom_site_fract_z
_atom_site_occupancy
Cr1 0.000 0.000 0.000 1
Pt1 0.500 0.500 0.500 1
O1 0.000 0.000 0.500 1
F1 0.000 0.500 0.000 1